No. 1
# UInIrRh

Crystalline UInIrRh at its relaxed geometry (PBE, Alexandria via LeMat-Bulk).

* symmetry: F-43m
* DOS at the Fermi energy: 1.421 states/eV per atom
* VASP energy: -7.952 eV per atom

Cell: 4.7444 4.7444 4.7444 Å, 60.00 60.00 60.00°
With the nearest neighbours (Å) after each atom.
Element x y z (fractional)
Ir (0.7500, 0.7500, 0.7500)  4 In 2.91, 4 U 2.91
Rh (0.2500, 0.2500, 0.2500)  4 U 2.91, 4 In 2.91
In (0.0000, 0.0000, 0.0000)  4 Rh 2.91, 4 Ir 2.91
U (0.5000, 0.5000, 0.5000)  4 Ir 2.91, 4 Rh 2.91

---

No. 2
# PmPaAlGe

Crystalline PmPaAlGe at its relaxed geometry (PBE, Alexandria via LeMat-Bulk).

* symmetry: F-43m
* DOS at the Fermi energy: 1.921 states/eV per atom
* VASP energy: -5.840 eV per atom

Cell: 5.1314 5.1314 5.1314 Å, 60.00 60.00 60.00°
With the nearest neighbours (Å) after each atom.
Element x y z (fractional)
Pm (0.5000, 0.5000, 0.5000)  4 Ge 3.14, 4 Al 3.14
Al (0.7500, 0.7500, 0.7500)  4 Pm 3.14, 4 Pa 3.14
Ge (0.2500, 0.2500, 0.2500)  4 Pa 3.14, 4 Pm 3.14
Pa (0.0000, 0.0000, 0.0000)  4 Al 3.14, 4 Ge 3.14

---

No. 3
# NaCa2ZnF

Crystalline NaCa2ZnF at its relaxed geometry (PBE, Alexandria via LeMat-Bulk).

* ΔE_f (raw): -1.09 eV per atom
* symmetry: P4/mmm
* DOS at the Fermi energy: 0.500 states/eV per atom
* VASP energy: -2.785 eV per atom

Cell: 5.1146 5.1146 4.4304 Å, 90.00 90.00 90.00°
With the nearest neighbours (Å) after each atom.
Element x y z (fractional)
Ca (0.0000, 0.5000, 0.0000)  2 F 2.56
Zn (0.5000, 0.5000, 0.5000)  8 Ca 3.38, 4 Na 3.62
Ca (0.5000, 0.0000, 0.0000)  2 F 2.56
Na (0.0000, 0.0000, 0.5000)  2 F 2.22
F (0.0000, 0.0000, 0.0000)  2 Na 2.22

---

No. 4
# Ti3Zn2O

Crystalline Ti3Zn2O at its relaxed geometry (PBE, Alexandria via LeMat-Bulk).

* ΔE_f (raw): -1.05 eV per atom
* symmetry: P4_132
* DOS at the Fermi energy: 0.956 states/eV per atom
* VASP energy: -6.247 eV per atom

Cell: 6.8534 6.8534 6.8534 Å, 90.00 90.00 90.00°
With the nearest neighbours (Å) after each atom.
Element x y z (fractional)
Ti (0.3750, 0.7895, 0.9605)  2 O 2.13
Zn (0.1784, 0.8216, 0.3216)  3 Zn 2.53, 3 Ti 2.83
Ti (0.8750, 0.7105, 0.0395)  2 O 2.13
Ti (0.5395, 0.6250, 0.2895)  2 O 2.13
Ti (0.0395, 0.8750, 0.7105)  2 O 2.13
Ti (0.6250, 0.2895, 0.5395)  2 O 2.13
O (0.1250, 0.6250, 0.8750)  6 Ti 2.13
Ti (0.7105, 0.0395, 0.8750)  2 O 2.13
Zn (0.3216, 0.1784, 0.8216)  3 Zn 2.53, 3 Ti 2.83
Zn (0.5716, 0.4284, 0.9284)  3 Zn 2.53, 3 Ti 2.83
O (0.3750, 0.3750, 0.3750)  6 Ti 2.13
O (0.8750, 0.1250, 0.6250)  6 Ti 2.13
O (0.6250, 0.8750, 0.1250)  6 Ti 2.13
Zn (0.4284, 0.9284, 0.5716)  3 Zn 2.53, 3 Ti 2.83
Ti (0.2895, 0.5395, 0.6250)  2 O 2.13
Ti (0.2105, 0.4605, 0.1250)  2 O 2.13
Ti (0.9605, 0.3750, 0.7895)  2 O 2.13
Zn (0.8216, 0.3216, 0.1784)  3 Zn 2.53, 3 Ti 2.83
Ti (0.1250, 0.2105, 0.4605)  2 O 2.13
Ti (0.4605, 0.1250, 0.2105)  2 O 2.13
Zn (0.0716, 0.0716, 0.0716)  3 Zn 2.53, 3 Ti 2.83
Zn (0.9284, 0.5716, 0.4284)  3 Zn 2.53, 3 Ti 2.83
Zn (0.6784, 0.6784, 0.6784)  3 Zn 2.53, 3 Ti 2.83
Ti (0.7895, 0.9605, 0.3750)  2 O 2.13

---

No. 5
# FeSiHg2

Crystalline FeSiHg2 at its relaxed geometry (PBE, Alexandria via LeMat-Bulk).

* ΔE_f (raw): 0.38 eV per atom
* symmetry: Imm2
* DOS at the Fermi energy: 0.770 states/eV per atom
* VASP energy: -3.243 eV per atom

Cell: 6.4032 6.4032 6.4032 Å, 154.20 137.44 50.44°
With the nearest neighbours (Å) after each atom.
Element x y z (fractional)
Hg (0.9434, 0.9434, 0.0000)  2 Fe 2.85, 2 Hg 2.86, 4 Si 3.14
Si (0.5775, 0.5775, 0.0000)  2 Fe 2.28
Fe (0.7309, 0.2309, 0.5000)  2 Si 2.28
Hg (0.2482, 0.7482, 0.5000)  4 Fe 2.74, 2 Hg 2.86, 2 Si 3.05

---

No. 6
# TaCrC3

Crystalline TaCrC3 at its relaxed geometry (PBE, Alexandria via LeMat-Bulk).

* symmetry: Pm-3m
* DOS at the Fermi energy: 1.221 states/eV per atom
* VASP energy: -7.589 eV per atom

Cell: 4.1132 4.1132 4.1132 Å, 90.00 90.00 90.00°
With the nearest neighbours (Å) after each atom.
Element x y z (fractional)
C (0.0000, 0.0000, 0.5000)  2 Ta 2.06
C (0.0000, 0.5000, 0.0000)  2 Ta 2.06
C (0.5000, 0.0000, 0.0000)  2 Ta 2.06
Cr (0.5000, 0.5000, 0.5000)  12 C 2.91
Ta (0.0000, 0.0000, 0.0000)  6 C 2.06

---

No. 7
# NdDyYCd

Crystalline NdDyYCd at its relaxed geometry (PBE, Alexandria via LeMat-Bulk).

* symmetry: P4mm
* DOS at the Fermi energy: 1.054 states/eV per atom
* VASP energy: -4.345 eV per atom

Cell: 3.6417 3.6417 9.0432 Å, 90.00 90.00 90.00°
With the nearest neighbours (Å) after each atom.
Element x y z (fractional)
Cd (0.0000, 0.0000, 0.5702)  4 Dy 3.25, 4 Y 3.26, 4 Cd 3.64
Dy (0.5000, 0.5000, 0.3504)  4 Cd 3.25, 4 Nd 3.60, 4 Dy 3.64
Nd (0.0000, 0.0000, 0.0729)  4 Dy 3.60, 4 Y 3.62, 4 Nd 3.64
Y (0.5000, 0.5000, 0.7912)  4 Cd 3.26, 4 Nd 3.62, 4 Y 3.64

---

No. 8
# SrTl2RhPb

Crystalline SrTl2RhPb at its relaxed geometry (PBE, Alexandria via LeMat-Bulk).

* symmetry: P4/mmm
* DOS at the Fermi energy: 0.816 states/eV per atom
* VASP energy: -3.579 eV per atom

Cell: 5.2900 5.2900 5.6246 Å, 90.00 90.00 90.00°
With the nearest neighbours (Å) after each atom.
Element x y z (fractional)
Rh (0.0000, 0.0000, 0.0000)  4 Tl 2.65, 2 Sr 2.81
Pb (0.5000, 0.5000, 0.5000)  4 Sr 3.74, 8 Tl 3.86
Tl (0.5000, 0.0000, 0.0000)  2 Rh 2.65
Tl (0.0000, 0.5000, 0.0000)  2 Rh 2.65
Sr (0.0000, 0.0000, 0.5000)  2 Rh 2.81

---

No. 9
# YBe2Pb

Crystalline YBe2Pb at its relaxed geometry (PBE, Alexandria via LeMat-Bulk).

* symmetry: R-3m
* DOS at the Fermi energy: 0.476 states/eV per atom
* VASP energy: -4.205 eV per atom

Cell: 5.5821 5.5821 5.5821 Å, 43.82 43.82 43.82°
With the nearest neighbours (Å) after each atom.
Element x y z (fractional)
Be (0.0314, 0.0314, 0.0314)  3 Pb 2.53
Be (0.4686, 0.4686, 0.4686)  3 Pb 2.53
Pb (0.7500, 0.7500, 0.7500)  6 Be 2.53
Y (0.2500, 0.2500, 0.2500)  8 Be 2.97-3.30

---

No. 10
# BaSnPd3Pb

Crystalline BaSnPd3Pb at its relaxed geometry (PBE, Alexandria via LeMat-Bulk).

* symmetry: Cmcm
* DOS at the Fermi energy: 0.504 states/eV per atom
* VASP energy: -4.609 eV per atom

Cell: 6.8224 6.9105 7.4108 Å, 117.79 90.00 90.00°
With the nearest neighbours (Å) after each atom.
Element x y z (fractional)
Pb (0.2500, 0.3740, 0.7479)  5 Pd 2.74-2.79
Pd (0.7500, 0.8348, 0.6696)  1 Sn 2.63, 1 Pb 2.74
Pb (0.7500, 0.6260, 0.2521)  5 Pd 2.74-2.79
Pd (0.0000, 0.7119, 0.0000)  2 Sn 2.66, 2 Pb 2.79, 1 Pd 2.93
Sn (0.2500, 0.9643, 0.9285)  5 Pd 2.63-2.66
Ba (0.7500, 0.2998, 0.5996)  8 Pd 3.46-3.84, 1 Sn 3.46, 2 Pb 3.55
Pd (0.5000, 0.7119, 0.0000)  2 Sn 2.66, 2 Pb 2.79, 1 Pd 2.93
Pd (0.5000, 0.2881, 0.0000)  2 Sn 2.66, 2 Pb 2.79, 1 Pd 2.93
Ba (0.2500, 0.7002, 0.4004)  8 Pd 3.46-3.84, 1 Sn 3.46, 2 Pb 3.55
Pd (0.0000, 0.2881, 0.0000)  2 Sn 2.66, 2 Pb 2.79, 1 Pd 2.93
Sn (0.7500, 0.0357, 0.0715)  5 Pd 2.63-2.66
Pd (0.2500, 0.1652, 0.3304)  1 Sn 2.63, 1 Pb 2.74

---

No. 11
# LiTa2Sb

Crystalline LiTa2Sb at its relaxed geometry (PBE, Alexandria via LeMat-Bulk).

* ΔE_f (raw): 0.49 eV per atom
* symmetry: R-3m
* DOS at the Fermi energy: 1.236 states/eV per atom
* VASP energy: -6.943 eV per atom

Cell: 10.0821 10.0821 10.0821 Å, 17.21 17.21 17.21°
With the nearest neighbours (Å) after each atom.
Element x y z (fractional)
Li (0.2500, 0.2500, 0.2500)  6 Li 3.02, 6 Ta 3.09
Ta (0.4978, 0.4978, 0.4978)  3 Sb 2.98, 6 Ta 3.02, 3 Li 3.09
Sb (0.7500, 0.7500, 0.7500)  6 Ta 2.98, 6 Sb 3.02
Ta (0.0022, 0.0022, 0.0022)  3 Sb 2.98, 6 Ta 3.02, 3 Li 3.09

---

No. 12
# La4Hg2Ir

Crystalline La4Hg2Ir at its relaxed geometry (PBE, Alexandria via LeMat-Bulk).

* symmetry: C2/m
* DOS at the Fermi energy: 1.177 states/eV per atom
* VASP energy: -4.705 eV per atom

Cell: 4.7273 6.2533 8.3832 Å, 73.05 73.62 67.79°
With the nearest neighbours (Å) after each atom.
Element x y z (fractional)
Hg (0.3606, 0.6161, 0.6627)  1 Hg 3.18, 8 La 3.38-3.46
La (0.6707, 0.7211, 0.9374)  2 Ir 2.96
La (0.3293, 0.2789, 0.0626)  2 Ir 2.96
Hg (0.6394, 0.3839, 0.3373)  1 Hg 3.18, 8 La 3.38-3.46
Ir (0.0000, 0.0000, 0.0000)  6 La 2.80-2.96
La (0.9270, 0.7978, 0.3482)  1 Ir 2.80
La (0.0730, 0.2022, 0.6518)  1 Ir 2.80

---

Repeat the first record exactly.
# UInIrRh

Crystalline UInIrRh at its relaxed geometry (PBE, Alexandria via LeMat-Bulk).

* symmetry: F-43m
* DOS at the Fermi energy: 1.421 states/eV per atom
* VASP energy: -7.952 eV per atom

Cell: 4.7444 4.7444 4.7444 Å, 60.00 60.00 60.00°
With the nearest neighbours (Å) after each atom.
Element x y z (fractional)
Ir (0.7500, 0.7500, 0.7500)  4 In 2.91, 4 U 2.91
Rh (0.2500, 0.2500, 0.2500)  4 U 2.91, 4 In 2.91
In (0.0000, 0.0000, 0.0000)  4 Rh 2.91, 4 Ir 2.91
U (0.5000, 0.5000, 0.5000)  4 Ir 2.91, 4 Rh 2.91

---

Question: Which value of DOS at the Fermi energy does entry 2 give?
Answer: 1.921 states/eV per atom

---

Question: Which of these has the lowest VASP energy?
Answer: UInIrRh